A geometry-optimized SrLi2OsO6 structure, computed with PBE.

The structure in POSCAR format:
```
SrLi2OsO6
1.0
-1.618 4.010 -3.207
-3.618 1.851 4.140
5.577 -0.476 1.023
Sr Li Os O
1 2 1 6
direct
0.500 0.000 0.000
0.188 0.260 0.520
0.812 0.740 0.480
0.000 0.500 0.000
0.389 0.681 0.363
0.099 0.174 0.804
0.901 0.370 0.196
0.099 0.630 0.804
0.901 0.826 0.196
0.611 0.319 0.637
```

## Properties
Formation energy (no corrections) = -1.644 eV per atom
Space-group type = C2/m (12)